# 1
A plane-wave DFT calculation with PBE-GGA was carried out for an optimized crystal structure of BiMo3P.

Values from the calculation:
- VASP energy: -5.610 eV per atom
- Calculated formation energy: 1325 kJ/mol of formula units
- Crystal system: cubic
- E above lowest polymorph: 2.164 eV per atom
- DOS at the Fermi energy: 2.2019 states/eV per atom

a b c (Å): 5.034 5.034 5.034
angles (deg): 90.00 90.00 90.00
Space group Pm-3m (No. 221)
One atom of each set of equivalent atoms:
1 Bi 0.000 0.000 0.000 [1 per cell]
2 Mo 0.000 0.000 0.500 [3 per cell]
3 P 0.500 0.500 0.500 [1 per cell]

---

# 2
A plane-wave DFT calculation with PBE-GGA was carried out for an optimized crystal structure of Bi2MoP.

Values from the calculation:
- VASP energy: -5.048 eV per atom
- Calculated formation energy: 368 kJ/mol of formula units
- Crystal system: tetragonal
- DOS at the Fermi energy: 0.2686 states/eV per atom

a b c (Å): 6.508 6.508 12.475
angles (deg): 90.00 90.00 90.00
Space group I-42d (No. 122)
One atom of each set of equivalent atoms:
1 Bi 0.247 0.250 0.125 [8 per cell]
2 Mo 0.000 0.000 0.500 [4 per cell]
3 P 0.000 0.000 0.000 [4 per cell]

---

# 3
A plane-wave DFT calculation with PBE-GGA was carried out for an optimized crystal structure of BiMo3P.

Values from the calculation:
- VASP energy: -7.774 eV per atom
- Calculated formation energy: 281 kJ/mol of formula units
- Crystal system: cubic
- E above lowest polymorph: 0.000 eV per atom
- DOS at the Fermi energy: 1.7448 states/eV per atom

a b c (Å): 4.549 4.549 4.549
angles (deg): 90.00 90.00 90.00
Space group Pm-3m (No. 221)
One atom of each set of equivalent atoms:
1 Bi 0.000 0.000 0.000 [1 per cell]
2 Mo 0.000 0.500 0.500 [3 per cell]
3 P 0.500 0.500 0.500 [1 per cell]

---

# 4
A plane-wave DFT calculation with PBE-GGA was carried out for an optimized crystal structure of Bi3MoP.

Values from the calculation:
- VASP energy: -4.429 eV per atom
- Calculated formation energy: 554 kJ/mol of formula units
- Crystal system: cubic
- DOS at the Fermi energy: 0.7357 states/eV per atom

a b c (Å): 5.351 5.351 5.351
angles (deg): 90.00 90.00 90.00
Space group Pm-3m (No. 221)
One atom of each set of equivalent atoms:
1 Bi 0.000 0.000 0.500 [3 per cell]
2 Mo 0.500 0.500 0.500 [1 per cell]
3 P 0.000 0.000 0.000 [1 per cell]

---

# 5
A plane-wave DFT calculation with PBE-GGA was carried out for an optimized crystal structure of BiMoP3.

Values from the calculation:
- VASP energy: -4.029 eV per atom
- Calculated formation energy: 1042 kJ/mol of formula units
- Crystal system: cubic
- E above lowest polymorph: 1.678 eV per atom
- DOS at the Fermi energy: 2.2539 states/eV per atom

a b c (Å): 5.048 5.048 5.048
angles (deg): 90.00 90.00 90.00
Space group Pm-3m (No. 221)
One atom of each set of equivalent atoms:
1 Bi 0.000 0.000 0.000 [1 per cell]
2 Mo 0.500 0.500 0.500 [1 per cell]
3 P 0.000 0.000 0.500 [3 per cell]

---

# 6
A plane-wave DFT calculation with PBE-GGA was carried out for an optimized crystal structure of BiMoPPb2.

Values from the calculation:
- VASP energy: -4.376 eV per atom
- Calculated formation energy: 546 kJ/mol of formula units
- Crystal system: tetragonal
- DOS at the Fermi energy: 0.6550 states/eV per atom

a b c (Å): 5.304 5.304 5.511
angles (deg): 90.00 90.00 90.00
Space group P4/mmm (No. 123)
One atom of each set of equivalent atoms:
1 Bi 0.000 0.000 0.000 [1 per cell]
2 Mo 0.500 0.500 0.000 [1 per cell]
3 P 0.000 0.000 0.500 [1 per cell]
4 Pb 0.000 0.500 0.500 [2 per cell]

---

# 7
A plane-wave DFT calculation with PBE-GGA was carried out for an optimized crystal structure of RbBi2MoP.

Values from the calculation:
- VASP energy: -4.494 eV per atom
- Calculated formation energy: 241 kJ/mol of formula units
- Crystal system: tetragonal
- DOS at the Fermi energy: 0.6585 states/eV per atom

a b c (Å): 5.756 5.756 4.661
angles (deg): 90.00 90.00 90.00
Space group P4/mmm (No. 123)
One atom of each set of equivalent atoms:
1 Rb 0.000 0.000 0.000 [1 per cell]
2 Bi 0.000 0.500 0.500 [2 per cell]
3 Mo 0.500 0.500 0.000 [1 per cell]
4 P 0.500 0.500 0.500 [1 per cell]

---

# 8
A plane-wave DFT calculation with PBE-GGA was carried out for an optimized crystal structure of BiMoPS2.

Values from the calculation:
- Formation energy without anion corrections: 6.92 eV per formula unit
- VASP energy: -4.291 eV per atom
- Crystal system: tetragonal
- E above lowest polymorph: 1.195 eV per atom
- DOS at the Fermi energy: 0.7342 states/eV per atom

a b c (Å): 5.150 5.150 5.274
angles (deg): 90.00 90.00 90.00
Space group P4/mmm (No. 123)
One atom of each set of equivalent atoms:
1 Bi 0.000 0.000 0.000 [1 per cell]
2 Mo 0.500 0.500 0.500 [1 per cell]
3 P 0.000 0.000 0.500 [1 per cell]
4 S 0.000 0.500 0.000 [2 per cell]

---

# 9
A plane-wave DFT calculation with PBE-GGA was carried out for an optimized crystal structure of BiMoPS2.

Values from the calculation:
- Formation energy without anion corrections: 0.95 eV per formula unit
- VASP energy: -5.486 eV per atom
- Crystal system: tetragonal
- E above lowest polymorph: 0.000 eV per atom
- DOS at the Fermi energy: 0.9216 states/eV per atom

a b c (Å): 4.599 4.599 5.086
angles (deg): 90.00 90.00 90.00
Space group P4/mmm (No. 123)
One atom of each set of equivalent atoms:
1 Bi 0.000 0.000 0.000 [1 per cell]
2 Mo 0.500 0.500 0.500 [1 per cell]
3 P 0.500 0.500 0.000 [1 per cell]
4 S 0.000 0.500 0.500 [2 per cell]

---

# 10
A plane-wave DFT calculation with PBE-GGA was carried out for an optimized crystal structure of SnBiMo2P.

Values from the calculation:
- VASP energy: -5.299 eV per atom
- Calculated formation energy: 816 kJ/mol of formula units
- Crystal system: tetragonal
- DOS at the Fermi energy: 0.9639 states/eV per atom

a b c (Å): 5.192 5.192 4.854
angles (deg): 90.00 90.00 90.00
Space group P4/mmm (No. 123)
One atom of each set of equivalent atoms:
1 Sn 0.000 0.000 0.000 [1 per cell]
2 Bi 0.500 0.500 0.500 [1 per cell]
3 Mo 0.000 0.500 0.000 [2 per cell]
4 P 0.000 0.000 0.500 [1 per cell]

---

# 11
A plane-wave DFT calculation with PBE-GGA was carried out for an optimized crystal structure of VBi2MoP.

Values from the calculation:
- VASP energy: -5.688 eV per atom
- Calculated formation energy: 452 kJ/mol of formula units
- Crystal system: tetragonal
- DOS at the Fermi energy: 0.5965 states/eV per atom

a b c (Å): 5.356 5.356 4.408
angles (deg): 90.00 90.00 90.00
Space group P4/mmm (No. 123)
One atom of each set of equivalent atoms:
1 V 0.000 0.000 0.000 [1 per cell]
2 Bi 0.000 0.500 0.000 [2 per cell]
3 Mo 0.500 0.500 0.500 [1 per cell]
4 P 0.000 0.000 0.500 [1 per cell]

---

# 12
A plane-wave DFT calculation with PBE-GGA was carried out for an optimized crystal structure of PaTcBiMo.

Values from the calculation:
- VASP energy: -8.449 eV per atom
- Calculated formation energy: 75 kJ/mol of formula units
- Crystal system: cubic
- DOS at the Fermi energy: 1.9551 states/eV per atom

a b c (Å): 6.843 6.843 6.843
angles (deg): 90.00 90.00 90.00
Space group F-43m (No. 216)
One atom of each set of equivalent atoms:
1 Pa 0.000 0.000 0.000 [4 per cell]
2 Tc 0.250 0.250 0.750 [4 per cell]
3 Bi 0.000 0.000 0.500 [4 per cell]
4 Mo 0.250 0.250 0.250 [4 per cell]

---

# 13
A plane-wave DFT calculation with PBE-GGA was carried out for an optimized crystal structure of BiMo2Pb.

Values from the calculation:
- VASP energy: -6.032 eV per atom
- Calculated formation energy: 494 kJ/mol of formula units
- Crystal system: tetragonal
- E above lowest polymorph: 0.471 eV per atom
- DOS at the Fermi energy: 1.1834 states/eV per atom

a b c (Å): 7.774 7.774 6.273
angles (deg): 90.00 90.00 90.00
Space group I-42d (No. 122)
One atom of each set of equivalent atoms:
1 Bi 0.000 0.000 0.000 [4 per cell]
2 Mo 0.249 0.250 0.125 [8 per cell]
3 Pb 0.000 0.000 0.500 [4 per cell]

---

# 14
A plane-wave DFT calculation with PBE-GGA was carried out for an optimized crystal structure of BiMoPb3.

Values from the calculation:
- VASP energy: -3.688 eV per atom
- Calculated formation energy: 714 kJ/mol of formula units
- Crystal system: cubic
- E above lowest polymorph: 0.909 eV per atom
- DOS at the Fermi energy: 0.8595 states/eV per atom

a b c (Å): 5.987 5.987 5.987
angles (deg): 90.00 90.00 90.00
Space group Pm-3m (No. 221)
One atom of each set of equivalent atoms:
1 Bi 0.000 0.000 0.000 [1 per cell]
2 Mo 0.500 0.500 0.500 [1 per cell]
3 Pb 0.000 0.000 0.500 [3 per cell]

---

# 15
A plane-wave DFT calculation with PBE-GGA was carried out for an optimized crystal structure of BiMo2Pb.

Values from the calculation:
- VASP energy: -6.503 eV per atom
- Calculated formation energy: 313 kJ/mol of formula units
- Crystal system: cubic
- E above lowest polymorph: 0.000 eV per atom
- DOS at the Fermi energy: 1.0822 states/eV per atom

a b c (Å): 6.851 6.851 6.851
angles (deg): 90.00 90.00 90.00
Space group Fm-3m (No. 225)
One atom of each set of equivalent atoms:
1 Bi 0.000 0.000 0.000 [4 per cell]
2 Mo 0.250 0.250 0.250 [8 per cell]
3 Pb 0.000 0.000 0.500 [4 per cell]

---

# 16
A plane-wave DFT calculation with PBE-GGA was carried out for an optimized crystal structure of BiMoPb3.

Values from the calculation:
- VASP energy: -4.597 eV per atom
- Calculated formation energy: 275 kJ/mol of formula units
- Crystal system: cubic
- E above lowest polymorph: 0.000 eV per atom
- DOS at the Fermi energy: 0.6027 states/eV per atom

a b c (Å): 5.463 5.463 5.463
angles (deg): 90.00 90.00 90.00
Space group Pm-3m (No. 221)
One atom of each set of equivalent atoms:
1 Bi 0.000 0.000 0.000 [1 per cell]
2 Mo 0.500 0.500 0.500 [1 per cell]
3 Pb 0.000 0.500 0.500 [3 per cell]

---

# 17
A plane-wave DFT calculation with PBE-GGA was carried out for an optimized crystal structure of BiMo3Pb.

Values from the calculation:
- VASP energy: -5.793 eV per atom
- Calculated formation energy: 1073 kJ/mol of formula units
- Crystal system: cubic
- E above lowest polymorph: 0.000 eV per atom
- DOS at the Fermi energy: 1.4467 states/eV per atom

a b c (Å): 5.157 5.157 5.157
angles (deg): 90.00 90.00 90.00
Space group Pm-3m (No. 221)
One atom of each set of equivalent atoms:
1 Bi 0.000 0.000 0.000 [1 per cell]
2 Mo 0.000 0.000 0.500 [3 per cell]
3 Pb 0.500 0.500 0.500 [1 per cell]

---

# 18
A plane-wave DFT calculation with PBE-GGA was carried out for an optimized crystal structure of Bi2MoPdPb.

Values from the calculation:
- VASP energy: -3.888 eV per atom
- Calculated formation energy: 777 kJ/mol of formula units
- Crystal system: tetragonal
- DOS at the Fermi energy: 0.9869 states/eV per atom

a b c (Å): 5.818 5.818 5.294
angles (deg): 90.00 90.00 90.00
Space group P4/mmm (No. 123)
One atom of each set of equivalent atoms:
1 Bi 0.000 0.500 0.000 [2 per cell]
2 Mo 0.000 0.000 0.500 [1 per cell]
3 Pd 0.500 0.500 0.500 [1 per cell]
4 Pb 0.000 0.000 0.000 [1 per cell]

---

# 19
A plane-wave DFT calculation with PBE-GGA was carried out for an optimized crystal structure of BiMo2PbS.

Values from the calculation:
- Formation energy without anion corrections: 9.06 eV per formula unit
- VASP energy: -4.865 eV per atom
- Crystal system: tetragonal
- DOS at the Fermi energy: 0.7078 states/eV per atom

a b c (Å): 5.372 5.372 5.051
angles (deg): 90.00 90.00 90.00
Space group P4/mmm (No. 123)
One atom of each set of equivalent atoms:
1 Bi 0.000 0.000 0.000 [1 per cell]
2 Mo 0.000 0.500 0.500 [2 per cell]
3 Pb 0.500 0.500 0.500 [1 per cell]
4 S 0.500 0.500 0.000 [1 per cell]

---

# 20
A plane-wave DFT calculation with PBE-GGA was carried out for an optimized crystal structure of BiTeMo2Pb.

Values from the calculation:
- Formation energy without anion corrections: 7.42 eV per formula unit
- VASP energy: -4.995 eV per atom
- Crystal system: tetragonal
- DOS at the Fermi energy: 0.8503 states/eV per atom

a b c (Å): 5.103 5.103 5.960
angles (deg): 90.00 90.00 90.00
Space group P4/mmm (No. 123)
One atom of each set of equivalent atoms:
1 Bi 0.000 0.000 0.000 [1 per cell]
2 Te 0.000 0.000 0.500 [1 per cell]
3 Mo 0.000 0.500 0.500 [2 per cell]
4 Pb 0.500 0.500 0.000 [1 per cell]